This record from the Alexandria database describes a relaxed structure of In2Ni7B. The functional is PBE-GGA.

Computed properties:
Formation energy in eV per atom: 0.2917
Spin magnetization in μB/f.u.: 2.0
SG: P4/mmm, No. 123

Lattice parameters (Å, degrees): 4.1224 4.1224 8.1915 90.00 90.00 90.00
Last column: nearest neighbours and their distance in Å.
Fractional coordinates of all 10 atoms:
1 In 0.0000 0.0000 0.7487  12 Ni 2.90-2.92
2 In 0.0000 0.0000 0.2513  12 Ni 2.90-2.92
3 Ni 0.5000 0.5000 0.7774  1 B 1.82
4 Ni 0.5000 0.5000 0.2226  1 B 1.82
5 Ni 0.5000 0.0000 0.0000  2 B 2.06
6 Ni 0.5000 0.0000 0.5000  2 Ni 2.06
7 Ni 0.0000 0.5000 0.0000  2 B 2.06
8 Ni 0.0000 0.5000 0.5000  2 Ni 2.06
9 Ni 0.5000 0.5000 0.5000  6 Ni 2.06-2.27
10 B 0.5000 0.5000 0.0000  2 Ni 1.82

---

This record from the Alexandria database describes a relaxed structure of CeThIrAu. The functional is PBE-GGA.

Computed properties:
Energy above the lowest structure with this stoichiometry in eV per atom: 0.111
Formation energy in eV per atom: -0.6283
Spin magnetization in μB/f.u.: 0.6
SG: F-43m, No. 216

Lattice parameters (Å, degrees): 5.1140 5.1140 5.1140 60.00 60.00 60.00
Last column: nearest neighbours and their distance in Å.
Fractional coordinates of all 4 atoms:
1 Ir 0.7500 0.7500 0.7500  4 Ce 3.13, 4 Th 3.13
2 Au 0.2500 0.2500 0.2500  4 Th 3.13, 4 Ce 3.13
3 Ce 0.0000 0.0000 0.0000  4 Ir 3.13, 4 Au 3.13
4 Th 0.5000 0.5000 0.5000  4 Ir 3.13, 4 Au 3.13

---

This record from the Alexandria database describes a relaxed structure of CaTaCr2Os. The functional is PBE-GGA.

Computed properties:
Formation energy in eV per atom: 2.1085
Spin magnetization in μB/f.u.: 3.4
SG: P4/mmm, No. 123

Lattice parameters (Å, degrees): 4.5752 4.5752 5.2084 90.00 90.00 90.00
Last column: nearest neighbours and their distance in Å.
Fractional coordinates of all 5 atoms:
1 Ca 0.0000 0.0000 0.5000  2 Ta 2.60
2 Ta 0.0000 0.0000 0.0000  4 Cr 2.29
3 Cr 0.0000 0.5000 0.0000  2 Ta 2.29
4 Cr 0.5000 0.0000 0.0000  2 Ta 2.29
5 Os 0.5000 0.5000 0.5000  4 Ca 3.24, 8 Cr 3.47

---

This record from the Alexandria database describes a relaxed structure of K2NaHPb. The functional is PBE-GGA.

Computed properties:
Energy above the lowest structure with this stoichiometry in eV per atom: 0.058
Spin magnetization in μB/f.u.: 0.0
SG: P4/mmm, No. 123

Lattice parameters (Å, degrees): 5.7728 5.7728 4.8414 90.00 90.00 90.00
Last column: nearest neighbours and their distance in Å.
Fractional coordinates of all 5 atoms:
1 Pb 0.0000 0.0000 0.5000  2 H 2.42
2 Na 0.5000 0.5000 0.5000  8 K 3.77, 4 Pb 4.08
3 K 0.0000 0.5000 0.0000  2 H 2.89
4 K 0.5000 0.0000 0.0000  2 H 2.89
5 H 0.0000 0.0000 0.0000  2 Pb 2.42